# 1
# Y2MgP | the Alexandria database | PBE | optimized geometry
# Fermi-level density of states in states/eV per atom: 1.014
# Energy above the most stable polymorph in this dataset in meV per atom: 401
# ΔE_f in meV per atom: -377
# Total DFT energy (no corrections) in eV per formula unit: -21.4
# ρ in g/cm³: 3.877
data_Y2MgP
_cell_length_a 3.514
_cell_length_b 3.514
_cell_length_c 8.087
_cell_angle_alpha 90.00
_cell_angle_beta 90.00
_cell_angle_gamma 90.00
_space_group_name_H-M_alt 'P 1'
_space_group_IT_number 1
loop_
_space_group_symop_operation_xyz
'x,y,z'
loop_
_atom_site_label
_atom_site_type_symbol
_atom_site_fract_x
_atom_site_fract_y
_atom_site_fract_z
Mg1 Mg 0.000 0.000 0.561
P1 P 0.500 0.500 0.735
Y1 Y 0.000 0.000 0.929
Y2 Y 0.500 0.500 0.274

---

# 2
# LaP2HO | the Alexandria database | PBE | optimized geometry
# Fermi-level density of states in states/eV per atom: 0.516
# Energy above the most stable polymorph in this dataset in meV per atom: 1404
# Total DFT energy (no corrections) in eV per formula unit: -21.4
# ρ in g/cm³: 2.052
data_LaP2HO
_cell_length_a 6.353
_cell_length_b 6.353
_cell_length_c 4.369
_cell_angle_alpha 90.00
_cell_angle_beta 90.00
_cell_angle_gamma 90.00
_space_group_name_H-M_alt 'P 1'
_space_group_IT_number 1
loop_
_space_group_symop_operation_xyz
'x,y,z'
loop_
_atom_site_label
_atom_site_type_symbol
_atom_site_fract_x
_atom_site_fract_y
_atom_site_fract_z
P1 P 0.000 0.500 0.000
P2 P 0.500 0.000 0.000
H1 H 0.500 0.500 0.500
O1 O 0.000 0.000 0.500
La1 La 0.000 0.000 0.000